A) A plane-wave DFT calculation with PBE-GGA was carried out for a relaxed structure of Nb2GaH2.

Lattice parameters (Å, degrees): 3.5396 3.5396 9.1957 90.00 90.00 90.00
Last column: nearest neighbours and their distance in Å.
Space group I4/mmm (No. 139)
One atom of each set of equivalent atoms:
1 Nb 0.0000 0.0000 0.1584 x4  4 H 1.96
2 Ga 0.0000 0.0000 0.5000 x2  10 Nb 2.90-3.14, 8 H 2.90
3 H 0.0000 0.5000 0.2500 x4  4 Nb 1.96

Calculated values
As for the total magnetic moment: 0.0000 μB per atom.

B) A plane-wave DFT calculation with PBE-GGA was carried out for a relaxed structure of Nb2GaH2.

Lattice parameters (Å, degrees): 5.2610 8.8109 5.6512 90.00 117.59 90.00
Last column: nearest neighbours and their distance in Å.
Space group C2/c (No. 15)
One atom of each set of equivalent atoms:
1 Nb 0.0000 0.0523 0.2500 x4  4 H 1.96-1.97
2 Nb 0.0000 0.3016 0.7500 x4  4 H 1.96-1.97
3 Ga 0.0000 0.3750 0.2500 x4  10 Nb 2.84-3.06, 8 H 2.88-2.89
4 H 0.1192 0.1246 0.9865 x8  4 Nb 1.96-1.97

Calculated values
As for the total magnetic moment: 0.0000 μB per atom.

Energetically preferred structure: A) | next structure: +1.3 kJ/mol of atoms